The following is a DFT calculation (PBE with a Hubbard U) of a relaxed structure of Mn3Ga4PbO12.

The electronic total energy is -6.449 eV/atom. The density of states at the Fermi level comes out at 2.55 states/eV per cell.

The structure belongs to space group Im-3 (No. 204); the cell edges are 7.506, 7.506 and 7.506 Å and the angles 90.00°, 90.00° and 90.00°. The inequivalent atoms are Mn at (0.000, 0.000, 0.500), Ga at (0.250, 0.250, 0.250), Pb at (0.000, 0.000, 0.000) and O at (0.000, 0.311, 0.177).